Here is a relaxed structure of HgBHS from Alexandria. Energies are from PBE.

The structure in POSCAR format:
```
HgBHS
1.0
3.115 0.000 0.000
1.557 2.698 0.000
0.158 0.107 8.548
Hg B H S
1 1 1 1
direct
0.000 0.000 0.000
0.355 0.336 0.480
0.359 0.342 0.339
0.685 0.666 0.572
```

Here is a relaxed structure of HgBHS from Alexandria. Energies are from PBE.

The structure in POSCAR format:
```
HgBHS
1.0
3.119 0.000 0.000
-1.560 2.701 0.000
0.000 0.000 7.767
Hg B H S
1 1 1 1
direct
0.000 0.000 0.000
0.000 0.000 0.711
0.000 0.000 0.217
0.667 0.333 0.607
```

Here is a relaxed structure of HgBHS from Alexandria. Energies are from PBE.

The structure in POSCAR format:
```
HgBHS
1.0
3.090 1.784 3.350
-3.090 1.784 3.350
0.000 -3.568 3.350
Hg B H S
1 1 1 1
direct
0.000 0.000 0.000
0.787 0.787 0.787
0.166 0.166 0.166
0.625 0.625 0.625
```

Here is a relaxed structure of HgBHS from Alexandria. Energies are from PBE.

The structure in POSCAR format:
```
HgBHS
1.0
4.383 0.000 0.000
0.000 3.109 0.000
-0.973 0.000 4.820
Hg B H S
1 1 1 1
direct
0.000 0.000 0.000
0.525 0.000 0.135
0.362 0.500 0.527
0.605 0.500 0.387
```

Computed calculated total energy (eV per atom) in order:
-3.83, -3.49, -3.29, -3.33
Computed relative energy among the computed polymorphs (kJ per mole of atoms) in order:
0.0, 32.7, 51.4, 48.1